Entry 1:
Here is an optimized crystal structure of Cd3GePd6 from the Alexandria database. Energies are from PBE-GGA.

The space group is Cmc2_1 (No. 36) and the conventional cell measures 8.3158, 14.8053 and 5.7301 Å, with angles of 90.00, 90.00 and 90.00 degrees. The distinct sites, in fractional coordinates, are Cd at (0.0000, 0.0062, 0.0000), Cd at (0.2246, 0.3980, 0.2458), Ge at (0.0000, 0.3329, 0.7138), Pd at (0.0000, 0.2039, 0.4486), Pd at (0.0000, 0.4962, 0.5017), Pd at (0.1695, 0.2447, 0.0003) and Pd at (0.2395, 0.0887, 0.2562).

The calculation puts the total magnetic moment at 0.00 μB per cell. The calculation puts the offset from the most stable computed form at 109 meV/atom. The calculated formation energy comes out at -0.277 eV/atom.

Entry 2:
Here is an optimized crystal structure of YHgAs2Br from the Alexandria database. Energies are from PBE-GGA.

The space group is P4/mmm (No. 123) and the conventional cell measures 5.1000, 5.1000 and 5.5813 Å, with angles of 90.00, 90.00 and 90.00 degrees. The distinct sites, in fractional coordinates, are Y at (0.0000, 0.0000, 0.0000), Hg at (0.5000, 0.5000, 0.5000), As at (0.0000, 0.5000, 0.5000) and Br at (0.5000, 0.5000, 0.0000).

The calculation puts the total magnetic moment at 0.00 μB per cell. The calculation puts the offset from the most stable computed form at 287 meV/atom. As for the uncorrected formation energy: 0.21 eV/atom.

Entry 3:
Here is an optimized crystal structure of CeHfCuRh from the Alexandria database. Energies are from PBE-GGA.

The space group is F-43m (No. 216) and the conventional cell measures 6.7699, 6.7699 and 6.7699 Å, with angles of 90.00, 90.00 and 90.00 degrees. The distinct sites, in fractional coordinates, are Ce at (0.0000, 0.0000, 0.0000), Hf at (0.0000, 0.0000, 0.5000), Cu at (0.2500, 0.2500, 0.2500) and Rh at (0.2500, 0.2500, 0.7500).

The calculation puts the total magnetic moment at 2.18 μB per cell. The calculated formation energy comes out at -0.315 eV/atom.

Entry 4:
Here is an optimized crystal structure of EuPd2Pb from the Alexandria database. Energies are from PBE-GGA.

The space group is P4/mmm (No. 123) and the conventional cell measures 3.6452, 3.6452 and 6.7155 Å, with angles of 90.00, 90.00 and 90.00 degrees. The distinct sites, in fractional coordinates, are Eu at (0.0000, 0.0000, 0.0000), Pd at (0.5000, 0.5000, 0.2713) and Pb at (0.0000, 0.0000, 0.5000).

The calculation puts the total magnetic moment at 6.93 μB per cell. The calculated formation energy comes out at -0.423 eV/atom.

Entry 5:
Here is an optimized crystal structure of NiMoIr2 from the Alexandria database. Energies are from PBE-GGA.

The space group is F-43m (No. 216) and the conventional cell measures 6.1168, 6.1168 and 6.1168 Å, with angles of 90.00, 90.00 and 90.00 degrees. The distinct sites, in fractional coordinates, are Ni at (0.0000, 0.0000, 0.0000), Mo at (0.2500, 0.2500, 0.7500), Ir at (0.0000, 0.0000, 0.5000) and Ir at (0.2500, 0.2500, 0.2500).

The calculation puts the total magnetic moment at 0.00 μB per cell. The calculation puts the offset from the most stable computed form at 460 meV/atom. The calculated formation energy comes out at 0.195 eV/atom.

Entry 6:
Here is an optimized crystal structure of TbCe2AlN from the Alexandria database. Energies are from PBE-GGA.

The space group is P4/mmm (No. 123) and the conventional cell measures 4.8412, 4.8412 and 4.8603 Å, with angles of 90.00, 90.00 and 90.00 degrees. The distinct sites, in fractional coordinates, are Tb at (0.0000, 0.0000, 0.0000), Ce at (0.0000, 0.5000, 0.5000), Al at (0.5000, 0.5000, 0.0000) and N at (0.0000, 0.0000, 0.5000).

The calculation puts the total magnetic moment at 1.37 μB per cell. As for the uncorrected formation energy: -0.77 eV/atom.

Entry 7:
Here is an optimized crystal structure of Sm2HgPd from the Alexandria database. Energies are from PBE-GGA.

The space group is R-3m (No. 166, hexagonal axes) and the conventional cell measures 3.4298, 3.4298 and 31.6234 Å, with angles of 90.00, 90.00 and 120.00 degrees. The distinct sites, in fractional coordinates, are Sm at (0.0000, 0.0000, 0.0846), Hg at (0.0000, 0.0000, 0.5000) and Pd at (0.0000, 0.0000, 0.0000).

The calculation puts the total magnetic moment at 0.00 μB per cell. The calculation puts the offset from the most stable computed form at 586 meV/atom. The calculated formation energy comes out at -0.045 eV/atom.

Entry 8:
Here is an optimized crystal structure of PuZr2C from the Alexandria database. Energies are from PBE-GGA.

The space group is R-3m (No. 166, hexagonal axes) and the conventional cell measures 3.3012, 3.3012 and 24.8593 Å, with angles of 90.00, 90.00 and 120.00 degrees. The distinct sites, in fractional coordinates, are Pu at (0.0000, 0.0000, 0.0000), Zr at (0.0000, 0.0000, 0.2193) and C at (0.0000, 0.0000, 0.5000).

The calculation puts the total magnetic moment at 18.37 μB per cell. The calculated formation energy comes out at -0.324 eV/atom.